Entry 1:
Below is Sr2TbInS5 after structural relaxation, with properties calculated at the PBE-GGA level.

Geometry as CIF:
```
data_Sr2TbInS5
_chemical_formula_sum 'Sr8 Tb4 In4 S20'
_symmetry_space_group_name_H-M 'C m c 21'
_symmetry_Int_Tables_number 36
_symmetry_space_group_name_Hall 'C 2c -2'
_cell_length_a 4.062
_cell_length_b 17.409
_cell_length_c 12.688
_cell_angle_alpha 90.00
_cell_angle_beta 90.00
_cell_angle_gamma 90.00
loop_
_atom_site_label
_atom_site_type_symbol
_atom_site_fract_x
_atom_site_fract_y
_atom_site_fract_z
Sr1 Sr 0.000 0.112 0.000
Sr2 Sr 0.000 0.136 0.627
Tb1 Tb 0.000 0.214 0.335
In1 In 0.000 0.462 0.765
S1 S 0.000 0.052 0.378
S2 S 0.000 0.285 0.980
S3 S 0.000 0.316 0.689
S4 S 0.000 0.367 0.317
S5 S 0.000 0.493 0.086
```

Output
E_form (uncorrected) = -15.3 eV/f.u.
VASP energy = -5.1828 eV/atom

***

Entry 2:
Below is YRuO3 after structural relaxation, with properties calculated at the PBE-GGA level.

Geometry as CIF:
```
data_YRuO3
_chemical_formula_sum 'Y1 Ru1 O3'
_symmetry_space_group_name_H-M 'P m -3 m'
_symmetry_Int_Tables_number 221
_symmetry_space_group_name_Hall '-P 4 2 3'
_cell_length_a 3.909
_cell_length_b 3.909
_cell_length_c 3.909
_cell_angle_alpha 90.00
_cell_angle_beta 90.00
_cell_angle_gamma 90.00
loop_
_atom_site_label
_atom_site_type_symbol
_atom_site_fract_x
_atom_site_fract_y
_atom_site_fract_z
Y1 Y 0.000 0.000 0.000
Ru1 Ru 0.500 0.500 0.500
O1 O 0.000 0.500 0.500
```

Output
E_form (uncorrected) = -8.2 eV/f.u.
VASP energy = -7.7681 eV/atom

***

Entry 3:
Below is LiTlSn2 after structural relaxation, with properties calculated at the PBE-GGA level.

Geometry as CIF:
```
data_LiTlSn2
_chemical_formula_sum 'Li1 Tl1 Sn2'
_symmetry_space_group_name_H-M 'P 4/m m m'
_symmetry_Int_Tables_number 123
_symmetry_space_group_name_Hall '-P 4 2'
_cell_length_a 4.558
_cell_length_b 4.558
_cell_length_c 4.878
_cell_angle_alpha 90.00
_cell_angle_beta 90.00
_cell_angle_gamma 90.00
loop_
_atom_site_label
_atom_site_type_symbol
_atom_site_fract_x
_atom_site_fract_y
_atom_site_fract_z
Li1 Li 0.000 0.000 0.000
Tl1 Tl 0.500 0.500 0.000
Sn1 Sn 0.000 0.500 0.500
```

Output
VASP energy = -3.1853 eV/atom
ΔE_f = -114 meV/atom